Entry 1:
The following is a DFT calculation (PBE) of ErGa2Ir after structural relaxation.

Properties
ΔH_f (0 K) (meV/atom): -575.5
Total moment (μB per formula unit): 0.00

Cell lengths 4.5898, 4.5898, 4.5898 Å; angles 60.00, 60.00, 60.00 degrees
Element x y z (fractional)
Er: 0.0000 0.0000 0.0000
Ga: 0.2500 0.2500 0.2500
Ga: 0.7500 0.7500 0.7500
Ir: 0.5000 0.5000 0.5000


Entry 2:
The following is a DFT calculation (PBE) of Er4Ga3Ir after structural relaxation.

Properties
ΔH_f (0 K) (meV/atom): -692.2
Total moment (μB per formula unit): 0.00

Cell lengths 3.8972, 4.2853, 10.8365 Å; angles 90.00, 90.00, 90.00 degrees
Element x y z (fractional)
Er: 0.5000 0.0000 0.6493
Er: 0.5000 0.5000 0.3409
Er: 0.0000 0.0000 0.1393
Er: 0.0000 0.5000 0.8714
Ga: 0.5000 0.0000 0.9248
Ga: 0.0000 0.5000 0.5765
Ga: 0.0000 0.0000 0.4257
Ir: 0.5000 0.5000 0.0720


Entry 3:
The following is a DFT calculation (PBE) of ErGa3Ir after structural relaxation.

Properties
ΔH_f (0 K) (meV/atom): -429.7
E above lowest polymorph (eV per formula unit): 1.19
Total moment (μB per formula unit): 0.00

Cell lengths 4.0397, 5.2920, 5.2215 Å; angles 120.45, 90.00, 90.00 degrees
Element x y z (fractional)
Ga: 0.0000 0.9567 0.3907
Ga: 0.0000 0.4341 0.3907
Ga: 0.5000 0.5982 0.1964
Er: 0.5000 0.9306 0.8612
Ir: 0.0000 0.4350 0.8701


Entry 4:
The following is a DFT calculation (PBE) of Er4GaIr2 after structural relaxation.

Properties
ΔH_f (0 K) (meV/atom): -748.0
E above lowest polymorph (eV per formula unit): 0.00
Total moment (μB per formula unit): 0.00

Cell lengths 4.8317, 4.8317, 8.3563 Å; angles 73.20, 73.20, 60.00 degrees
Element x y z (fractional)
Er: 0.3801 0.3801 0.8596
Er: 0.1286 0.1286 0.6143
Er: 0.6199 0.6199 0.1404
Er: 0.8714 0.8714 0.3857
Ir: 0.2511 0.2511 0.2466
Ir: 0.7489 0.7489 0.7534
Ga: 0.0000 0.0000 0.0000


Entry 5:
The following is a DFT calculation (PBE) of ErGa2Ir2 after structural relaxation.

Properties
ΔH_f (0 K) (meV/atom): -666.2
Total moment (μB per formula unit): 0.00

Cell lengths 4.1954, 4.1954, 10.8419 Å; angles 101.16, 101.16, 90.00 degrees
Element x y z (fractional)
Er: 0.3919 0.3919 0.7837
Er: 0.6081 0.6081 0.2163
Ir: 0.5000 0.0000 0.0000
Ir: 0.8161 0.8161 0.6322
Ir: 0.0000 0.5000 0.0000
Ir: 0.1839 0.1839 0.3678
Ga: 0.0680 0.0680 0.1360
Ga: 0.9320 0.9320 0.8640
Ga: 0.2500 0.7500 0.5000
Ga: 0.7500 0.2500 0.5000


Entry 6:
The following is a DFT calculation (PBE) of ErGa3Ir2 after structural relaxation.

Properties
ΔH_f (0 K) (meV/atom): -622.7
Total moment (μB per formula unit): 0.00

Cell lengths 3.9818, 8.6525, 9.7046 Å; angles 101.02, 90.00, 103.30 degrees
Element x y z (fractional)
Er: 0.1538 0.3076 0.7115
Er: 0.0000 0.0000 0.0000
Er: 0.8462 0.6924 0.2885
Ga: 0.9423 0.8846 0.6558
Ga: 0.6464 0.2928 0.9372
Ga: 0.5000 0.0000 0.5000
Ga: 0.2260 0.4520 0.3743
Ga: 0.3536 0.7072 0.0628
Ga: 0.6403 0.2807 0.1951
Ga: 0.7740 0.5480 0.6257
Ga: 0.0577 0.1154 0.3442
Ga: 0.3597 0.7193 0.8049
Ir: 0.7909 0.5819 0.9057
Ir: 0.6403 0.2807 0.4598
Ir: 0.2091 0.4181 0.0943
Ir: 0.3597 0.7193 0.5402
Ir: 0.4862 0.9724 0.2296
Ir: 0.5138 0.0276 0.7704


Entry 7:
The following is a DFT calculation (PBE) of Er2Ga5Ir after structural relaxation.

Properties
ΔH_f (0 K) (meV/atom): -472.5
Total moment (μB per formula unit): 0.00

Cell lengths 5.9738, 5.9738, 5.9738 Å; angles 93.18, 118.18, 118.18 degrees
Element x y z (fractional)
Ga: 0.0000 0.2470 0.2470
Ga: 0.0000 0.2906 0.7173
Ga: 0.4268 0.7173 0.7173
Ga: 0.0000 0.7173 0.2906
Ga: 0.5732 0.2906 0.2906
Ir: 0.0000 0.9412 0.9412
Er: 0.5000 0.2590 0.7590
Er: 0.5000 0.7590 0.2590


Entry 8:
The following is a DFT calculation (PBE) of ErGa6Ir4 after structural relaxation.

Properties
ΔH_f (0 K) (meV/atom): -514.6
Total moment (μB per formula unit): 0.00

Cell lengths 6.5939, 6.5939, 6.5939 Å; angles 89.40, 120.34, 120.34 degrees
Element x y z (fractional)
Ga: 0.3452 0.4690 0.4690
Ga: 0.0000 0.5310 0.8762
Ga: 0.6548 0.1238 0.1238
Ga: 0.5000 0.5000 0.0000
Ga: 0.0000 0.8762 0.5310
Ga: 0.5000 0.0000 0.5000
Ir: 0.0000 0.2363 0.6066
Ir: 0.3703 0.7637 0.7637
Ir: 0.6297 0.3934 0.3934
Ir: 0.0000 0.6066 0.2363
Er: 0.0000 0.0000 0.0000